No. 1
# Rb2ZrGaI6

Rb2ZrGaI6 after structural relaxation (PBE, the Alexandria database).

a = 12.198 Å, b = 12.198 Å, c = 12.198 Å
α = 90.00°, β = 90.00°, γ = 90.00°
Space group Fm-3m (No. 225)
One atom of each set of equivalent atoms:
Rb1 0.250 0.250 0.250 [8 per cell]
Zr1 0.000 0.000 0.000 [4 per cell]
Ga1 0.000 0.000 0.500 [4 per cell]
I1 0.000 0.000 0.240 [24 per cell]

Results
The calculation puts the density of states at the Fermi level at 9.7 states/eV/f.u. The calculation puts the energy relative to the elements, uncorrected at -0.962 eV per atom. The calculation puts the mass density at 4.001 Mg/m³. Its energy relative to the lowest polymorph listed for this composition is 0.015 eV/atom. The total magnetic moment comes out at 0.100 μB/atom.


No. 2
# SrLa2CdIr

SrLa2CdIr after structural relaxation (PBE, the Alexandria database).

a = 5.581 Å, b = 5.581 Å, c = 5.522 Å
α = 90.00°, β = 90.00°, γ = 90.00°
Space group P4/mmm (No. 123)
One atom of each set of equivalent atoms:
Sr1 0.000 0.000 0.000 [1 per cell]
La1 0.000 0.500 0.500 [2 per cell]
Cd1 0.500 0.500 0.000 [1 per cell]
Ir1 0.500 0.500 0.500 [1 per cell]

Results
The calculation puts the density of states at the Fermi level at 3.2 states/eV/f.u. The calculation puts the calculated formation energy at -311 meV per atom. The calculation puts the mass density at 6.468 Mg/m³. Its energy relative to the lowest polymorph listed for this composition is 0.020 eV/atom. The total magnetic moment comes out at 0.000 μB/atom.


No. 3
# GdTmBeIr

GdTmBeIr after structural relaxation (PBE, the Alexandria database).

a = 6.837 Å, b = 6.837 Å, c = 6.837 Å
α = 90.00°, β = 90.00°, γ = 90.00°
Space group F-43m (No. 216)
One atom of each set of equivalent atoms:
Gd1 0.000 0.000 0.000 [4 per cell]
Tm1 0.000 0.000 0.500 [4 per cell]
Be1 0.250 0.250 0.250 [4 per cell]
Ir1 0.250 0.250 0.750 [4 per cell]

Results
The calculation puts the density of states at the Fermi level at 2.7 states/eV/f.u. The calculation puts the calculated formation energy at -405 meV per atom. The calculation puts the mass density at 10.963 Mg/m³. The total magnetic moment comes out at 1.754 μB/atom.


Q: Which of these has the lowest total magnetic moment?
A: SrLa2CdIr